Record 1
Zn2GaAu8: optimized geometry, GGA-PBE.

The structure in POSCAR format:
```
Zn2GaAu8
1.0
7.408 -2.018 0.000
7.408 2.018 0.000
-1.594 0.000 6.456
Zn Ga Au
2 1 8
Direct
0.208 0.208 0.173
0.792 0.792 0.827
0.500 0.500 0.500
0.030 0.030 0.245
0.168 0.168 0.747
0.330 0.330 0.563
0.400 0.400 0.025
0.600 0.600 0.975
0.670 0.670 0.437
0.832 0.832 0.253
0.970 0.970 0.755
```

Calculated values
The calculation puts the calculated formation energy at -1.3 eV per formula unit. Its volume is 17.55 A^3/atom.

Record 2
Rb2TlSb2Au: optimized geometry, GGA-PBE.

The structure in POSCAR format:
```
Rb2TlSb2Au
1.0
-3.573 8.371 3.605
3.573 -8.371 3.605
3.573 8.371 -3.605
Rb Tl Sb Au
4 2 4 2
Direct
0.166 0.243 0.409
0.334 0.743 0.077
0.666 0.257 0.923
0.834 0.757 0.591
0.250 0.250 0.000
0.750 0.750 0.000
0.095 0.722 0.817
0.405 0.222 0.626
0.595 0.778 0.374
0.905 0.278 0.183
0.250 0.750 0.500
0.750 0.250 0.500
```

Calculated values
As for the raw total energy: -2.901 eV/atom. Its volume is 35.95 A^3/atom.

Record 3
KIr2Rh: optimized geometry, GGA-PBE.

The structure in POSCAR format:
```
KIr2Rh
1.0
-1.361 2.568 5.200
1.361 -2.568 5.200
1.361 2.568 -5.200
K Ir Rh
1 2 1
Direct
0.000 0.000 0.000
0.289 0.789 0.500
0.500 0.500 0.000
0.716 0.216 0.500
```

Calculated values
The calculation puts the calculated formation energy at 3.0 eV per formula unit. Its volume is 18.18 A^3/atom. Its relative energy among the computed polymorphs is 294 meV/atom.

Record 4
Y3HgN: optimized geometry, GGA-PBE.

The structure in POSCAR format:
```
Y3HgN
1.0
8.577 0.000 0.000
0.000 6.286 0.000
-3.989 0.000 8.498
Y Hg N
12 4 4
Direct
0.067 0.073 0.360
0.067 0.427 0.860
0.192 0.575 0.547
0.192 0.925 0.047
0.351 0.123 0.765
0.351 0.377 0.265
0.649 0.623 0.735
0.649 0.877 0.235
0.808 0.075 0.953
0.808 0.425 0.453
0.933 0.573 0.140
0.933 0.927 0.640
0.407 0.677 0.903
0.407 0.823 0.403
0.593 0.177 0.597
0.593 0.323 0.097
0.073 0.248 0.597
0.073 0.252 0.097
0.927 0.748 0.903
0.927 0.752 0.403
```

Calculated values
As for the raw total energy: -6.377 eV/atom. Its volume is 22.91 A^3/atom.

Record 5
Ho4SnSb2Te: optimized geometry, GGA-PBE.

The structure in POSCAR format:
```
Ho4SnSb2Te
1.0
7.576 0.000 0.000
0.000 4.346 0.000
-2.494 0.000 7.162
Ho Sn Sb Te
4 1 2 1
Direct
0.245 0.000 0.241
0.249 0.500 0.753
0.751 0.500 0.247
0.755 0.000 0.759
0.500 0.000 0.000
0.000 0.000 0.500
0.000 0.500 0.000
0.500 0.500 0.500
```

Calculated values
As for the raw total energy: -5.280 eV/atom. Its volume is 29.48 A^3/atom.

Record 6
TmMn3P3: optimized geometry, GGA-PBE.

The structure in POSCAR format:
```
TmMn3P3
1.0
6.206 0.000 0.000
0.000 6.206 0.000
0.000 0.000 6.206
Tm Mn P
2 6 6
Direct
0.000 0.000 0.000
0.500 0.500 0.500
0.000 0.250 0.500
0.000 0.750 0.500
0.250 0.500 0.000
0.500 0.000 0.250
0.500 0.000 0.750
0.750 0.500 0.000
0.000 0.500 0.250
0.000 0.500 0.750
0.250 0.000 0.500
0.500 0.250 0.000
0.500 0.750 0.000
0.750 0.000 0.500
```

Calculated values
The calculation puts the calculated formation energy at -2.0 eV per formula unit. Its volume is 17.07 A^3/atom.

Record 7
CePrTcN4: optimized geometry, GGA-PBE.

The structure in POSCAR format:
```
CePrTcN4
1.0
2.725 -6.371 0.000
2.725 6.371 0.000
0.000 0.000 5.486
Ce Pr Tc N
2 2 2 8
Direct
0.102 0.898 0.750
0.898 0.102 0.250
0.396 0.604 0.750
0.604 0.396 0.250
0.260 0.740 0.250
0.740 0.260 0.750
0.000 0.500 0.000
0.000 0.500 0.500
0.068 0.932 0.250
0.419 0.581 0.250
0.500 0.000 0.000
0.500 0.000 0.500
0.581 0.419 0.750
0.932 0.068 0.750
```

Calculated values
As for the raw total energy: -8.655 eV/atom. Its volume is 13.61 A^3/atom.

Record 8
KCoHg2Sb: optimized geometry, GGA-PBE.

The structure in POSCAR format:
```
KCoHg2Sb
1.0
5.221 0.000 0.000
0.000 5.221 0.000
0.000 0.000 4.850
K Co Hg Sb
1 1 2 1
Direct
0.000 0.000 0.000
0.500 0.500 0.500
0.000 0.500 0.500
0.500 0.000 0.500
0.500 0.500 0.000
```

Calculated values
As for the raw total energy: -2.648 eV/atom. Its volume is 26.44 A^3/atom.

Record 9
PuMg3Au3: optimized geometry, GGA-PBE.

The structure in POSCAR format:
```
PuMg3Au3
1.0
7.283 0.000 0.000
0.000 7.283 0.000
0.000 0.000 7.283
Pu Mg Au
2 6 6
Direct
0.000 0.000 0.000
0.500 0.500 0.500
0.000 0.250 0.500
0.000 0.750 0.500
0.250 0.500 0.000
0.500 0.000 0.250
0.500 0.000 0.750
0.750 0.500 0.000
0.000 0.500 0.250
0.000 0.500 0.750
0.250 0.000 0.500
0.500 0.250 0.000
0.500 0.750 0.000
0.750 0.000 0.500
```

Calculated values
The calculation puts the calculated formation energy at -0.1 eV per formula unit. Its volume is 27.59 A^3/atom.

Record 10
SmY4Ho7: optimized geometry, GGA-PBE.

The structure in POSCAR format:
```
SmY4Ho7
1.0
6.202 0.000 0.000
0.013 7.156 0.000
2.079 0.003 8.567
Sm Y Ho
1 4 7
Direct
0.000 0.000 0.000
0.222 0.500 0.334
0.280 0.249 0.665
0.720 0.751 0.335
0.778 0.500 0.666
0.000 0.500 0.000
0.221 0.000 0.334
0.277 0.750 0.666
0.499 0.750 0.999
0.501 0.250 0.001
0.723 0.250 0.334
0.779 0.000 0.666
```

Calculated values
The calculation puts the calculated formation energy at 0.0 eV per formula unit. Its volume is 31.68 A^3/atom. Its relative energy among the computed polymorphs is 0 meV/atom.

Record 11
Pu6Ru5: optimized geometry, GGA-PBE.

The structure in POSCAR format:
```
Pu6Ru5
1.0
2.407 -7.071 0.000
2.407 7.071 0.000
-0.053 0.000 6.691
Pu Ru
6 5
Direct
0.163 0.836 0.747
0.164 0.837 0.253
0.498 0.498 0.745
0.502 0.502 0.255
0.836 0.163 0.747
0.837 0.164 0.253
0.000 0.000 0.000
0.330 0.670 0.500
0.332 0.668 0.000
0.668 0.332 0.000
0.670 0.330 0.500
```

Calculated values
The calculation puts the calculated formation energy at -1.2 eV per formula unit. Its volume is 20.71 A^3/atom. Its relative energy among the computed polymorphs is 0 meV/atom.

Record 12
KSb2IrO8: optimized geometry, GGA-PBE.

The structure in POSCAR format:
```
KSb2IrO8
1.0
4.790 0.000 0.000
0.000 6.538 0.000
-0.301 0.000 4.946
K Sb Ir O
1 2 1 8
Direct
0.000 0.000 0.000
0.500 0.248 0.500
0.500 0.752 0.500
0.000 0.500 0.000
0.255 0.296 0.164
0.255 0.704 0.164
0.257 0.500 0.675
0.284 0.000 0.619
0.716 0.000 0.381
0.743 0.500 0.325
0.745 0.296 0.836
0.745 0.704 0.836
```

Calculated values
As for the raw total energy: -5.822 eV/atom. Its volume is 12.91 A^3/atom.

| no. | total magnetization (μB per cell) |
| --- | --- |
| 1 | 0.00 |
| 2 | 0.00 |
| 3 | 0.00 |
| 4 | 0.02 |
| 5 | 0.00 |
| 6 | 11.84 |
| 7 | 0.00 |
| 8 | 0.49 |
| 9 | 12.24 |
| 10 | 0.00 |
| 11 | 28.36 |
| 12 | 0.00 |